(1)
VASP calculation (PBE) on crystalline CsSr3Tl at its relaxed geometry.

## Properties
- offset from the most stable computed form (eV/f.u.) = 4.57
- formation energy (meV/atom) = 860

CIF file:
```
data_CsSr3Tl
_cell_length_a 6.2948
_cell_length_b 6.2948
_cell_length_c 6.2948
_cell_angle_alpha 90.00
_cell_angle_beta 90.00
_cell_angle_gamma 90.00
_symmetry_space_group_name_H-M 'P m -3 m'
_symmetry_Int_Tables_number 221
_symmetry_space_group_name_Hall '-P 4 2 3'
loop_
_atom_site_label
_atom_site_type_symbol
_atom_site_fract_x
_atom_site_fract_y
_atom_site_fract_z
_atom_site_occupancy
Cs1 Cs 0.0000 0.0000 0.0000 1
Sr1 Sr 0.0000 0.0000 0.5000 1
Tl1 Tl 0.5000 0.5000 0.5000 1
```

(2)
VASP calculation (PBE) on crystalline La3Pm8Sc at its relaxed geometry.

## Properties
- formation energy (meV/atom) = 507

CIF file:
```
data_La3Pm8Sc
_cell_length_a 8.8299
_cell_length_b 8.8299
_cell_length_c 11.5144
_cell_angle_alpha 90.00
_cell_angle_beta 90.00
_cell_angle_gamma 90.00
_symmetry_space_group_name_H-M 'I -4 2 m'
_symmetry_Int_Tables_number 121
_symmetry_space_group_name_Hall 'I -4 2'
loop_
_atom_site_label
_atom_site_type_symbol
_atom_site_fract_x
_atom_site_fract_y
_atom_site_fract_z
_atom_site_occupancy
La1 La 0.0000 0.0000 0.0000 1
La2 La 0.0000 0.5000 0.2500 1
Pm1 Pm 0.1233 0.1233 0.2567 1
Pm2 Pm 0.2384 0.2384 0.5191 1
Sc1 Sc 0.0000 0.0000 0.5000 1
```

(3)
VASP calculation (PBE) on crystalline Na4H2F at its relaxed geometry.

## Properties
- offset from the most stable computed form (eV/f.u.) = 1.46

CIF file:
```
data_Na4H2F
_cell_length_a 4.5493
_cell_length_b 4.5493
_cell_length_c 12.1335
_cell_angle_alpha 90.00
_cell_angle_beta 90.00
_cell_angle_gamma 90.00
_symmetry_space_group_name_H-M 'I 4/m m m'
_symmetry_Int_Tables_number 139
_symmetry_space_group_name_Hall '-I 4 2'
loop_
_atom_site_label
_atom_site_type_symbol
_atom_site_fract_x
_atom_site_fract_y
_atom_site_fract_z
_atom_site_occupancy
Na1 Na 0.0000 0.0000 0.2025 1
Na2 Na 0.0000 0.5000 0.0000 1
H1 H 0.0000 0.0000 0.3872 1
F1 F 0.0000 0.0000 0.0000 1
```

(4)
VASP calculation (PBE) on crystalline DyGa2Ni at its relaxed geometry.

## Properties
- formation energy (meV/atom) = -572

CIF file:
```
data_DyGa2Ni
_cell_length_a 4.0858
_cell_length_b 4.0858
_cell_length_c 15.1422
_cell_angle_alpha 90.00
_cell_angle_beta 90.00
_cell_angle_gamma 120.00
_symmetry_space_group_name_H-M 'R -3 m'
_symmetry_Int_Tables_number 166
_symmetry_space_group_name_Hall '-R 3 2"'
loop_
_atom_site_label
_atom_site_type_symbol
_atom_site_fract_x
_atom_site_fract_y
_atom_site_fract_z
_atom_site_occupancy
Dy1 Dy 0.0000 0.0000 0.0000 1
Ga1 Ga 0.0000 0.0000 0.2130 1
Ni1 Ni 0.0000 0.0000 0.5000 1
```

(5)
VASP calculation (PBE) on crystalline TlSiN2F at its relaxed geometry.

## Properties
- offset from the most stable computed form (eV/f.u.) = 7.61
- E_form (uncorrected) (eV per atom) = 1.37

CIF file:
```
data_TlSiN2F
_cell_length_a 4.3146
_cell_length_b 4.3146
_cell_length_c 4.4429
_cell_angle_alpha 90.00
_cell_angle_beta 90.00
_cell_angle_gamma 90.00
_symmetry_space_group_name_H-M 'P 4/m m m'
_symmetry_Int_Tables_number 123
_symmetry_space_group_name_Hall '-P 4 2'
loop_
_atom_site_label
_atom_site_type_symbol
_atom_site_fract_x
_atom_site_fract_y
_atom_site_fract_z
_atom_site_occupancy
Tl1 Tl 0.0000 0.0000 0.0000 1
Si1 Si 0.5000 0.5000 0.5000 1
N1 N 0.0000 0.5000 0.0000 1
F1 F 0.0000 0.0000 0.5000 1
```

(6)
VASP calculation (PBE) on crystalline PrY3O at its relaxed geometry.

## Properties
- offset from the most stable computed form (eV/f.u.) = 0.22
- E_form (uncorrected) (eV per atom) = -1.04

CIF file:
```
data_PrY3O
_cell_length_a 5.0056
_cell_length_b 5.0056
_cell_length_c 5.0056
_cell_angle_alpha 90.00
_cell_angle_beta 90.00
_cell_angle_gamma 90.00
_symmetry_space_group_name_H-M 'P m -3 m'
_symmetry_Int_Tables_number 221
_symmetry_space_group_name_Hall '-P 4 2 3'
loop_
_atom_site_label
_atom_site_type_symbol
_atom_site_fract_x
_atom_site_fract_y
_atom_site_fract_z
_atom_site_occupancy
Pr1 Pr 0.0000 0.0000 0.0000 1
Y1 Y 0.0000 0.5000 0.5000 1
O1 O 0.5000 0.5000 0.5000 1
```

no.,DOS(E_F) (states/eV per cell)
1,7.920
2,36.496
3,4.556
4,7.845
5,2.666
6,7.989